La2YAg: optimized geometry, PBE.

Cell lengths 3.6942, 5.5855, 5.7364 Å; angles 90.00, 90.00, 90.00 degrees
Closest atoms and distances in Å follow each position.
Space group Pmmm (No. 47)
Unique sites:
La 0.0000 0.0000 0.0000  6 La 3.35-3.69, 4 Ag 3.41
La 0.5000 0.5000 0.0000  6 La 3.35-3.69, 4 Y 3.41
Y 0.0000 0.5000 0.5000  4 Ag 3.35, 4 La 3.41, 2 Y 3.69
Ag 0.5000 0.0000 0.5000  4 Y 3.35, 4 La 3.41, 2 Ag 3.69

Properties
As for the density of states at the Fermi level: 5.37 states/eV/cell. The calculated total energy comes out at -4.79 eV/atom. The calculation puts the energy of formation at -1 meV/atom. As for the energy above the most stable polymorph in this dataset: 0.125 eV/atom. The value obtained for the magnetization is 0.0 μB per formula unit.



Rb2Cd7In12: optimized geometry, PBE.

Cell lengths 11.9778, 11.9778, 4.8835 Å; angles 90.00, 90.00, 120.00 degrees
Closest atoms and distances in Å follow each position.
Space group P-3 (No. 147)
Unique sites:
Rb 0.3333 0.6667 0.2425  6 Cd 3.74-3.84, 6 In 3.88-3.99
Cd 0.0000 0.0000 0.5000  6 In 2.99
Cd 0.1116 0.7025 0.7274  7 In 3.00-3.16
In 0.0583 0.4303 0.7610  4 Cd 3.00-3.11, 1 In 3.21
In 0.1236 0.2565 0.2204  4 Cd 2.99-3.16, 1 In 3.21

Properties
As for the density of states at the Fermi level: 8.39 states/eV/cell. The calculated total energy comes out at -1.98 eV/atom. The calculation puts the energy of formation at -23 meV/atom. The value obtained for the magnetization is 0.0 μB per formula unit.



HoTm2Cd6: optimized geometry, PBE.

Cell lengths 8.5779, 8.5779, 3.3940 Å; angles 90.00, 90.00, 120.00 degrees
Closest atoms and distances in Å follow each position.
Space group P6/mmm (No. 191)
Unique sites:
Ho 0.0000 0.0000 0.0000  12 Cd 3.33, 2 Ho 3.39
Tm 0.3333 0.6667 0.0000  12 Cd 3.32, 2 Tm 3.39
Cd 0.0000 0.3339 0.5000  3 Cd 2.85-2.86

Properties
As for the density of states at the Fermi level: 6.53 states/eV/cell. The calculated total energy comes out at -2.41 eV/atom. The calculation puts the energy of formation at -295 meV/atom. The value obtained for the magnetization is 0.0 μB per formula unit.